No. 1
KBe2Ga2O6 | PBE-GGA | relaxed

Structure (POSCAR):
```
KBe2Ga2O6
1.0
5.778 0.038 -0.684
2.984 4.916 -0.495
-0.639 -2.880 5.143
K O Ga Be
1 6 2 2
Direct
0.500 0.000 0.500 K
0.947 0.424 0.144 O
0.504 0.564 0.836 O
0.925 0.130 0.368 O
0.496 0.436 0.164 O
0.053 0.576 0.856 O
0.075 0.870 0.632 O
0.112 0.672 0.234 Ga
0.888 0.328 0.766 Ga
0.202 0.687 0.782 Be
0.798 0.313 0.218 Be
```

## Properties
The raw formation energy is -20.4 eV/f.u. Its crystal system is triclinic. Its density is 3445 kg/m3. The total energy is -0.216 hartree per atom.

---

No. 2
DyHo2Er3 | PBE-GGA | relaxed

Structure (POSCAR):
```
DyHo2Er3
1.0
6.068 0.085 -0.220
-0.185 6.527 -2.571
0.342 -0.107 9.282
Ho Er Dy
4 6 2
Direct
0.583 0.542 0.334 Ho
0.083 0.792 0.334 Ho
0.417 0.458 0.666 Ho
0.917 0.208 0.666 Ho
0.083 0.292 0.334 Er
0.917 0.708 0.666 Er
0.750 0.625 0.000 Er
0.417 0.958 0.666 Er
0.250 0.375 0.000 Er
0.583 0.042 0.334 Er
0.750 0.125 0.000 Dy
0.250 0.875 0.000 Dy
```

## Properties
Its crystal system is monoclinic. The density of states at the Fermi level comes out at 16.7 states/eV per cell. Its density is 9008 kg/m3. The total energy is -0.167 hartree per atom. Its formation enthalpy at 0 K is 22 meV per atom.

---

No. 3
BaScNb2 | PBE-GGA | relaxed

Structure (POSCAR):
```
BaScNb2
1.0
8.233 0.000 0.000
0.000 8.233 0.000
4.117 4.117 2.978
Sc Nb Ba
2 4 2
Direct
0.250 0.750 0.500 Sc
0.500 0.500 0.000 Sc
0.875 0.856 0.750 Nb
0.606 0.125 0.250 Nb
0.375 0.394 0.750 Nb
0.144 0.625 0.250 Nb
0.750 0.250 0.500 Ba
0.000 0.000 0.000 Ba
```

## Properties
Its crystal system is tetragonal. The density of states at the Fermi level comes out at 9.2 states/eV per cell. Its density is 6056 kg/m3. The total energy is -0.214 hartree per atom. Its formation enthalpy at 0 K is 1269 meV per atom.

---

No. 4
InPt2Rh | PBE-GGA | relaxed

Structure (POSCAR):
```
InPt2Rh
1.0
8.954 -1.468 0.007
8.954 1.468 0.007
8.711 0.000 2.538
Rh Pt In
1 2 1
Direct
0.500 0.500 0.500 Rh
0.249 0.249 0.249 Pt
0.751 0.751 0.751 Pt
0.000 0.000 0.000 In
```

## Properties
Its crystal system is trigonal. The density of states at the Fermi level comes out at 3.7 states/eV per cell. Its density is 15174 kg/m3. The total energy is -0.204 hartree per atom. Its formation enthalpy at 0 K is -6 meV per atom.

---

No. 5
YGaGe | PBE-GGA | relaxed

Structure (POSCAR):
```
YGaGe
1.0
-4.247 -0.636 0.284
0.788 -2.298 6.648
-1.038 8.252 2.976
Ga Ge Y
4 4 4
Direct
0.250 0.511 0.577 Ga
0.250 0.011 0.923 Ga
0.750 0.489 0.423 Ga
0.750 0.989 0.077 Ga
0.250 0.862 0.667 Ge
0.750 0.638 0.167 Ge
0.250 0.362 0.833 Ge
0.750 0.138 0.333 Ge
0.750 0.655 0.840 Y
0.250 0.345 0.160 Y
0.750 0.155 0.660 Y
0.250 0.845 0.340 Y
```

## Properties
Its crystal system is orthorhombic. The density of states at the Fermi level comes out at 2.0 states/eV per cell. Its density is 5709 kg/m3. The total energy is -0.195 hartree per atom. Its formation enthalpy at 0 K is -611 meV per atom.

---

No. 6
TlPtW2 | PBE-GGA | relaxed

Structure (POSCAR):
```
TlPtW2
1.0
5.218 0.000 0.000
2.222 4.721 0.000
-3.720 -2.360 2.796
Pt Tl W
1 1 2
Direct
0.250 0.750 0.500 Pt
0.750 0.250 0.500 Tl
0.000 0.000 0.000 W
0.500 0.500 0.000 W
```

## Properties
Its crystal system is tetragonal. The density of states at the Fermi level comes out at 1.9 states/eV per cell. Its density is 18493 kg/m3. The total energy is -0.297 hartree per atom. Its formation enthalpy at 0 K is 494 meV per atom.

---

No. 7
Be3CuTc | PBE-GGA | relaxed

Structure (POSCAR):
```
Be3CuTc
1.0
3.869 0.000 0.000
0.000 3.869 0.000
0.000 0.000 3.869
Tc Be Cu
1 3 1
Direct
0.500 0.500 0.500 Tc
0.000 0.000 0.500 Be
0.000 0.500 0.000 Be
0.500 0.000 0.000 Be
0.000 0.000 0.000 Cu
```

## Properties
Its crystal system is cubic. The density of states at the Fermi level comes out at 2.5 states/eV per cell. Its density is 5408 kg/m3. The total energy is -0.164 hartree per atom. Its formation enthalpy at 0 K is 669 meV per atom.

---

No. 8
La6AlCd2 | PBE-GGA | relaxed

Structure (POSCAR):
```
La6AlCd2
1.0
-1.087 7.781 4.691
-7.666 -4.934 0.787
7.305 -4.306 3.439
La Cd Al
12 4 2
Direct
0.253 0.576 0.323 La
0.561 0.740 0.821 La
0.194 0.257 0.450 La
0.747 0.424 0.677 La
0.194 0.743 0.937 La
0.439 0.260 0.179 La
0.253 0.930 0.677 La
0.919 0.740 0.179 La
0.806 0.743 0.550 La
0.806 0.257 0.063 La
0.081 0.260 0.821 La
0.747 0.070 0.323 La
0.500 0.640 0.140 Cd
0.367 0.000 0.367 Cd
0.633 0.000 0.633 Cd
0.500 0.360 0.860 Cd
0.000 0.000 0.000 Al
0.000 0.500 0.500 Al
```

## Properties
Its crystal system is orthorhombic. The density of states at the Fermi level comes out at 26.6 states/eV per cell. Its density is 6124 kg/m3. The total energy is -0.149 hartree per atom. Its formation enthalpy at 0 K is -164 meV per atom.

---

- What is the density in the sixth record?
  18493 kg/m3

---

- Which value of total energy does entry 4 give?
  -0.204 hartree per atom

---

- Among the records above, which one has the lowest total energy?
  TlPtW2